This record from Alexandria describes crystalline Na2NbFeSn at its relaxed geometry. The functional is GGA-PBEsol.

Geometry as CIF:
```
data_Na2NbFeSn
_cell_length_a 5.3878
_cell_length_b 5.3878
_cell_length_c 4.8133
_cell_angle_alpha 90.00
_cell_angle_beta 90.00
_cell_angle_gamma 90.00
_symmetry_space_group_name_H-M 'P 4/m m m'
_symmetry_Int_Tables_number 123
_symmetry_space_group_name_Hall '-P 4 2'
loop_
_atom_site_label
_atom_site_fract_x
_atom_site_fract_y
_atom_site_fract_z
Na1 0.0000 0.5000 0.0000
Nb1 0.0000 0.0000 0.5000
Fe1 0.5000 0.5000 0.5000
Sn1 0.5000 0.5000 0.0000
```

- DOS at the Fermi energy: 7.91 states/eV/f.u.
- Energy: -19.09 eV/cell
- E_form: 748 kJ/mol of formula units